A plane-wave DFT calculation with SCAN was carried out for TaCo2Pt at its PBEsol-relaxed geometry.

Unit cell a=5.2632 b=8.5700 c=2.6666 alpha=90.00 beta=115.91 gamma=90.00
Space group C2/m (No. 12)
Inequivalent atoms, fractional coordinates:
Ta  0.0000  0.0000  0.0000
Co  0.2500  0.2500  0.5000
Pt  0.0000  0.5000  0.0000

Values from the calculation:
The value obtained for the offset from the most stable computed form is 129 kJ/mol of formula units.

---

A plane-wave DFT calculation with SCAN was carried out for TaCo2Pt at its PBEsol-relaxed geometry.

Unit cell a=3.7878 b=3.7878 c=3.5801 alpha=90.00 beta=90.00 gamma=90.00
Space group P4/mmm (No. 123)
Inequivalent atoms, fractional coordinates:
Ta  0.0000  0.0000  0.0000
Co  0.0000  0.5000  0.5000
Pt  0.5000  0.5000  0.0000

Values from the calculation:
The value obtained for the offset from the most stable computed form is 7 kJ/mol of formula units.

---

A plane-wave DFT calculation with SCAN was carried out for Ta3CoPt at its PBEsol-relaxed geometry.

Unit cell a=4.4646 b=4.4646 c=4.4646 alpha=90.00 beta=90.00 gamma=90.00
Space group Pm-3m (No. 221)
Inequivalent atoms, fractional coordinates:
Ta  0.0000  0.0000  0.5000
Co  0.0000  0.0000  0.0000
Pt  0.5000  0.5000  0.5000

---

A plane-wave DFT calculation with SCAN was carried out for TaCo4Pt at its PBEsol-relaxed geometry.

Unit cell a=6.5977 b=6.5977 c=6.5977 alpha=90.00 beta=90.00 gamma=90.00
Space group F-43m (No. 216)
Inequivalent atoms, fractional coordinates:
Ta  0.0000  0.0000  0.0000
Co  0.1242  0.1242  0.3758
Pt  0.2500  0.2500  0.7500

---

A plane-wave DFT calculation with SCAN was carried out for TaCo2Pt at its PBEsol-relaxed geometry.

Unit cell a=2.7429 b=2.7429 c=7.0495 alpha=90.00 beta=90.00 gamma=90.00
Space group P4mm (No. 99)
Inequivalent atoms, fractional coordinates:
Ta  0.0000  0.0000  0.0000
Co  0.0000  0.0000  0.4557
Co  0.5000  0.5000  0.2586
Pt  0.5000  0.5000  0.7112

Values from the calculation:
The value obtained for the offset from the most stable computed form is 79 kJ/mol of formula units.

---

A plane-wave DFT calculation with SCAN was carried out for CoTcPt at its PBEsol-relaxed geometry.

Unit cell a=3.1146 b=3.1146 c=8.1474 alpha=90.00 beta=90.00 gamma=90.00
Space group I4mm (No. 107)
Inequivalent atoms, fractional coordinates:
Co  0.0000  0.0000  0.0000
Tc  0.0000  0.0000  0.3585
Pt  0.0000  0.0000  0.6726

---

A plane-wave DFT calculation with SCAN was carried out for CoTePt2 at its PBEsol-relaxed geometry.

Unit cell a=8.7932 b=3.4322 c=4.2991 alpha=90.00 beta=102.53 gamma=90.00
Space group C2/m (No. 12)
Inequivalent atoms, fractional coordinates:
Co  0.0000  0.0000  0.0000
Te  0.0000  0.5000  0.5000
Pt  0.2450  0.5000  0.2356

Values from the calculation:
As for the formation energy without anion corrections: 0.0223 eV/atom.

---

A plane-wave DFT calculation with SCAN was carried out for CoTePt2 at its PBEsol-relaxed geometry.

Unit cell a=3.3694 b=3.3694 c=5.5826 alpha=90.00 beta=90.00 gamma=90.00
Space group P4mm (No. 99)
Inequivalent atoms, fractional coordinates:
Co  0.0000  0.0000  0.0000
Te  0.5000  0.5000  0.7357
Pt  0.0000  0.0000  0.4653
Pt  0.5000  0.5000  0.2075

Values from the calculation:
As for the formation energy without anion corrections: 0.0858 eV/atom.

---

A plane-wave DFT calculation with SCAN was carried out for CoTe2Pt at its PBEsol-relaxed geometry.

Unit cell a=3.8644 b=3.8644 c=19.0941 alpha=90.00 beta=90.00 gamma=120.00
Space group R3m (No. 160, hexagonal axes)
Inequivalent atoms, fractional coordinates:
Co  0.0000  0.0000  0.0000
Te  0.0000  0.0000  0.2745
Te  0.0000  0.0000  0.4651
Pt  0.0000  0.0000  0.7261

Values from the calculation:
As for the formation energy without anion corrections: -0.1327 eV/atom.

---

A plane-wave DFT calculation with SCAN was carried out for CoTePt2 at its PBEsol-relaxed geometry.

Unit cell a=3.4263 b=3.4263 c=5.4567 alpha=90.00 beta=90.00 gamma=90.00
Space group P4/mmm (No. 123)
Inequivalent atoms, fractional coordinates:
Co  0.0000  0.0000  0.0000
Te  0.0000  0.0000  0.5000
Pt  0.5000  0.5000  0.2337

Values from the calculation:
As for the formation energy without anion corrections: 0.0480 eV/atom.

---

A plane-wave DFT calculation with SCAN was carried out for Co3TePt at its PBEsol-relaxed geometry.

Unit cell a=4.4741 b=4.4741 c=4.4741 alpha=90.00 beta=90.00 gamma=90.00
Space group Pm-3m (No. 221)
Inequivalent atoms, fractional coordinates:
Co  0.0000  0.0000  0.5000
Te  0.0000  0.0000  0.0000
Pt  0.5000  0.5000  0.5000

Values from the calculation:
As for the formation energy without anion corrections: 1.3468 eV/atom.

---

A plane-wave DFT calculation with SCAN was carried out for Ti2Co2Pt at its PBEsol-relaxed geometry.

Unit cell a=6.7320 b=6.7320 c=2.8514 alpha=90.00 beta=90.00 gamma=90.00
Space group P4/mbm (No. 127)
Inequivalent atoms, fractional coordinates:
Ti  0.1706  0.3294  0.0000
Co  0.1289  0.6289  0.5000
Pt  0.0000  0.0000  0.5000

---

no.,uncorrected energy (eV per atom),calculated density (g cm⁻³)
1,-42.955,15.2
2,-43.271,16.0
3,-56.892,14.9
4,-34.545,14.1
5,-43.085,15.5
6,-40.799,14.8
7,-48.713,15.1
8,-48.650,15.1
9,-40.633,10.3
10,-48.687,14.9
11,-30.525,9.3
12,-27.908,10.5